# 1
# ZnFeCuPb

An optimized crystal structure of ZnFeCuPb (GGA-PBE, OQMD via LeMat-Bulk).

It has space group F-43m (No. 216), with a = 6.252 Å, b = 6.252 Å, c = 6.252 Å, α = 90.00°, β = 90.00° and γ = 90.00°. The distinct sites, in fractional coordinates, are Zn at (0.000, 0.000, 0.000), Fe at (0.250, 0.250, 0.250), Cu at (0.250, 0.250, 0.750) and Pb at (0.000, 0.000, 0.500).

The calculated volume is 244 Å³/cell. Its total energy is -15.33 eV/f.u.

# 2
# RbLuHf

An optimized crystal structure of RbLuHf (GGA-PBE, OQMD via LeMat-Bulk).

It has space group F-43m (No. 216), with a = 7.404 Å, b = 7.404 Å, c = 7.404 Å, α = 90.00°, β = 90.00° and γ = 90.00°. The distinct sites, in fractional coordinates, are Rb at (0.000, 0.000, 0.000), Lu at (0.250, 0.250, 0.250) and Hf at (0.250, 0.250, 0.750).

The calculated volume is 406 Å³/cell. Its total energy is -9.61 eV/f.u.

# 3
# Be2FeHg

An optimized crystal structure of Be2FeHg (GGA-PBE, OQMD via LeMat-Bulk).

It has space group F-43m (No. 216), with a = 5.898 Å, b = 5.898 Å, c = 5.898 Å, α = 90.00°, β = 90.00° and γ = 90.00°. The distinct sites, in fractional coordinates, are Be at (0.000, 0.000, 0.000), Be at (0.250, 0.250, 0.250), Fe at (0.000, 0.000, 0.500) and Hg at (0.250, 0.250, 0.750).

The calculated volume is 205 Å³/cell. Its total energy is -14.05 eV/f.u.

# 4
# LaHoNO

An optimized crystal structure of LaHoNO (GGA-PBE, OQMD via LeMat-Bulk).

It has space group Pmc2_1 (No. 26), with a = 3.950 Å, b = 6.845 Å, c = 5.753 Å, α = 90.00°, β = 90.00° and γ = 90.00°. The distinct sites, in fractional coordinates, are La at (0.000, 0.154, 0.000), Ho at (0.500, 0.326, 0.515), N at (0.000, 0.195, 0.421) and O at (0.500, 0.368, 0.898).

The calculated volume is 156 Å³/cell. Its total energy is -31.14 eV/f.u.

# 5
# DyHoGe2Ir

An optimized crystal structure of DyHoGe2Ir (GGA-PBE, OQMD via LeMat-Bulk).

It has space group C2/m (No. 12), with a = 10.499 Å, b = 4.294 Å, c = 10.292 Å, α = 90.00°, β = 116.81° and γ = 90.00°. The distinct sites, in fractional coordinates, are Dy at (0.190, 0.000, 0.118), Ho at (0.008, 0.000, 0.330), Ge at (0.020, 0.500, 0.884), Ge at (0.147, 0.500, 0.553) and Ir at (0.229, 0.500, 0.335).

The calculated volume is 414 Å³/cell. Its total energy is -31.89 eV/f.u.

# 6
# La2NdZn2Ge4Au2

An optimized crystal structure of La2NdZn2Ge4Au2 (GGA-PBE, OQMD via LeMat-Bulk).

It has space group Immm (No. 71), with a = 4.247 Å, b = 4.416 Å, c = 25.915 Å, α = 90.00°, β = 90.00° and γ = 90.00°. The distinct sites, in fractional coordinates, are La at (0.000, 0.000, 0.148), Nd at (0.000, 0.500, 0.000), Zn at (0.000, 0.500, 0.250), Ge at (0.000, 0.000, 0.306), Ge at (0.000, 0.500, 0.452) and Au at (0.000, 0.000, 0.405).

The calculated volume is 486 Å³/cell. Its total energy is -49.84 eV/f.u.